Here is a geometry-optimized Pr5DyY4 structure from the Alexandria database. Energies are from PBE.

Summary:
energy of formation	2.51	eV per formula unit
crystal system	tetragonal
DOS(E_F)	1.471	states/eV per atom
energy above the most stable polymorph in this dataset	0.237	eV per atom

Cell: 10.6411 10.6411 6.1635 Å, 90.00 90.00 90.00°
Space group I4mm (No. 107)
Unique sites:
Pr  0.0000  0.0000  0.0000 x2
Pr  0.1886  0.1886  0.7280 x8
Dy  0.0000  0.0000  0.4641 x2
Y  0.0000  0.3250  0.2448 x8